# 1
First-principles (PBEsol) data for a relaxed MgIn2Se4 crystal, as listed in Alexandria via LeMat-Bulk.

Output
uncorrected formation energy	-0.670	eV/atom

Cell: 9.3738 9.3738 8.2929 Å, 90.00 90.00 90.00°
Space group I-42d (No. 122)
Inequivalent atoms, fractional coordinates:
Mg1 0.0000 0.0000 0.0000
In1 0.1075 0.2500 0.6250
Se1 0.0021 0.7294 0.9122

=====

# 2
First-principles (PBEsol) data for a relaxed LaGe2Cl crystal, as listed in Alexandria via LeMat-Bulk.

Output
uncorrected formation energy	-0.163	eV/atom
density of states at the Fermi level	8.626	states/eV/cell

Cell: 7.1678 7.1678 7.1678 Å, 90.00 90.00 90.00°
Space group Fm-3m (No. 225)
Inequivalent atoms, fractional coordinates:
La1 0.0000 0.0000 0.0000
Ge1 0.2500 0.2500 0.2500
Cl1 0.0000 0.0000 0.5000

=====

# 3
First-principles (PBEsol) data for a relaxed SbP2AuC crystal, as listed in Alexandria via LeMat-Bulk.

Output
uncorrected formation energy	2.457	eV/atom
density of states at the Fermi level	3.181	states/eV/cell

Cell: 5.0493 5.0493 5.0406 Å, 90.00 90.00 90.00°
Space group P4/mmm (No. 123)
Inequivalent atoms, fractional coordinates:
Sb1 0.0000 0.0000 0.0000
P1 0.0000 0.5000 0.0000
Au1 0.0000 0.0000 0.5000
C1 0.5000 0.5000 0.5000

=====

# 4
First-principles (PBEsol) data for a relaxed BeZn2Rh crystal, as listed in Alexandria via LeMat-Bulk.

Output
density of states at the Fermi level	2.590	states/eV/cell
energy of formation from the pure elements	-115	kJ/mol of formula units
energy above the lowest structure with this stoichiometry	0.0	meV/atom

Cell: 3.4601 3.4601 8.0231 Å, 90.00 90.00 90.00°
Space group I4/mmm (No. 139)
Inequivalent atoms, fractional coordinates:
Be1 0.0000 0.0000 0.0000
Zn1 0.0000 0.5000 0.2500
Rh1 0.0000 0.0000 0.5000

=====

# 5
First-principles (PBEsol) data for a relaxed MgFe2Co crystal, as listed in Alexandria via LeMat-Bulk.

Output
density of states at the Fermi level	2.653	states/eV/cell
energy of formation from the pure elements	90	kJ/mol of formula units

Cell: 3.6304 3.6304 3.7326 Å, 90.00 90.00 90.00°
Space group P4/mmm (No. 123)
Inequivalent atoms, fractional coordinates:
Mg1 0.0000 0.0000 0.0000
Fe1 0.0000 0.5000 0.5000
Co1 0.5000 0.5000 0.0000

=====

# 6
First-principles (PBEsol) data for a relaxed La2RePt crystal, as listed in Alexandria via LeMat-Bulk.

Output
density of states at the Fermi level	4.199	states/eV/cell
energy of formation from the pure elements	52	kJ/mol of formula units
energy above the lowest structure with this stoichiometry	220.9	meV/atom

Cell: 6.4141 3.6822 8.4697 Å, 90.00 104.39 90.00°
Space group C2/m (No. 12)
Inequivalent atoms, fractional coordinates:
La1 0.2487 0.0000 0.2457
Re1 0.0000 0.0000 0.5000
Pt1 0.0000 0.5000 0.0000

=====

# 7
First-principles (PBEsol) data for a relaxed MnAl6 crystal, as listed in Alexandria via LeMat-Bulk.

Output
density of states at the Fermi level	7.370	states/eV/cell
energy of formation from the pure elements	-112	kJ/mol of formula units

Cell: 7.4773 6.4072 8.7728 Å, 90.00 90.00 90.00°
Space group Cmcm (No. 63)
Inequivalent atoms, fractional coordinates:
Mn1 0.0000 0.0429 0.2500
Al1 0.0000 0.3586 0.1003
Al2 0.1731 0.0000 0.0000
Al3 0.1829 0.2860 0.7500

=====

# 8
First-principles (PBEsol) data for a relaxed YNi4Ag crystal, as listed in Alexandria via LeMat-Bulk.

Output
density of states at the Fermi level	28.801	states/eV/cell
energy of formation from the pure elements	-174	kJ/mol of formula units

Cell: 6.8673 6.8673 6.8673 Å, 90.00 90.00 90.00°
Space group F-43m (No. 216)
Inequivalent atoms, fractional coordinates:
Y1 0.0000 0.0000 0.0000
Ni1 0.1243 0.1243 0.6243
Ag1 0.2500 0.2500 0.2500

=====

It is found that the total energy values, taken in the order of the records, are -3.968 -4.471 -3.485 -4.124 -6.612 -7.612 -5.067 -6.094 eV per atom.